A relaxed Rb3CS crystal. Source: Alexandria, functional GGA-PBE.

E above lowest polymorph   0.00 kcal/mol of atoms
Formation energy (no corrections)   0.51 eV/atom
Symmetry   No. 221
Uncorrected energy   -0.1008 hartree per atom

a = 6.324 Å, b = 6.324 Å, c = 6.324 Å
α = 90.00°, β = 90.00°, γ = 90.00°
Element x y z (fractional)
Rb 0.000 0.000 0.500
Rb 0.000 0.500 0.000
Rb 0.500 0.000 0.000
C 0.500 0.500 0.500
S 0.000 0.000 0.000

---

A relaxed Nd2Al2BOs2 crystal. Source: Alexandria, functional GGA-PBE.

Symmetry   No. 12
Uncorrected energy   -0.2577 hartree per atom
Formation energy from the elements   -0.419 eV per atom

a = 10.732 Å, b = 4.457 Å, c = 7.404 Å
α = 90.00°, β = 128.46°, γ = 90.00°
Element x y z (fractional)
Nd 0.062 0.000 0.326
Nd 0.438 0.500 0.674
Nd 0.562 0.500 0.326
Nd 0.938 0.000 0.674
Al 0.164 0.500 0.107
Al 0.336 0.000 0.893
Al 0.664 0.000 0.107
Al 0.836 0.500 0.893
B 0.000 0.500 0.500
B 0.500 0.000 0.500
Os 0.208 0.500 0.811
Os 0.292 0.000 0.189
Os 0.708 0.000 0.811
Os 0.792 0.500 0.189

---

A relaxed Ti2ZnO crystal. Source: Alexandria, functional GGA-PBE.

E above lowest polymorph   25.00 kcal/mol of atoms
Formation energy (no corrections)   -0.20 eV/atom
Symmetry   No. 225
Uncorrected energy   -0.2098 hartree per atom

a = 6.006 Å, b = 6.006 Å, c = 6.006 Å
α = 90.00°, β = 90.00°, γ = 90.00°
Element x y z (fractional)
Ti 0.250 0.250 0.250
Ti 0.250 0.250 0.750
Ti 0.250 0.750 0.250
Ti 0.250 0.750 0.750
Ti 0.750 0.250 0.250
Ti 0.750 0.250 0.750
Ti 0.750 0.750 0.250
Ti 0.750 0.750 0.750
Zn 0.000 0.000 0.000
Zn 0.000 0.500 0.500
Zn 0.500 0.000 0.500
Zn 0.500 0.500 0.000
O 0.000 0.000 0.500
O 0.000 0.500 0.000
O 0.500 0.000 0.000
O 0.500 0.500 0.500

---

A relaxed SmEr5Hg3 crystal. Source: Alexandria, functional GGA-PBE.

Symmetry   No. 193
Uncorrected energy   -0.1272 hartree per atom
Formation energy from the elements   -0.303 eV per atom

a = 9.028 Å, b = 9.028 Å, c = 6.918 Å
α = 90.00°, β = 90.00°, γ = 120.00°
Element x y z (fractional)
Sm 0.000 0.000 0.000
Sm 0.000 0.000 0.500
Er 0.000 0.334 0.250
Er 0.000 0.666 0.750
Er 0.333 0.667 0.000
Er 0.333 0.667 0.500
Er 0.334 0.000 0.250
Er 0.334 0.334 0.750
Er 0.666 0.000 0.750
Er 0.666 0.666 0.250
Er 0.667 0.333 0.000
Er 0.667 0.333 0.500
Hg 0.000 0.336 0.750
Hg 0.000 0.664 0.250
Hg 0.336 0.000 0.750
Hg 0.336 0.336 0.250
Hg 0.664 0.000 0.250
Hg 0.664 0.664 0.750

---

A relaxed HoBeCu crystal. Source: Alexandria, functional GGA-PBE.

E above lowest polymorph   0.00 kcal/mol of atoms
Symmetry   No. 12
Uncorrected energy   -0.1568 hartree per atom
Formation energy from the elements   -0.133 eV per atom

a = 9.716 Å, b = 4.182 Å, c = 6.799 Å
α = 90.00°, β = 134.13°, γ = 90.00°
Element x y z (fractional)
Ho 0.052 0.000 0.308
Ho 0.448 0.500 0.692
Ho 0.552 0.500 0.308
Ho 0.948 0.000 0.692
Be 0.156 0.500 0.096
Be 0.344 0.000 0.904
Be 0.656 0.000 0.096
Be 0.844 0.500 0.904
Cu 0.181 0.500 0.756
Cu 0.319 0.000 0.244
Cu 0.681 0.000 0.756
Cu 0.819 0.500 0.244

---

A relaxed AsSe2N crystal. Source: Alexandria, functional GGA-PBE.

E above lowest polymorph   10.55 kcal/mol of atoms
Formation energy (no corrections)   0.78 eV/atom
Symmetry   No. 166
Uncorrected energy   -0.1547 hartree per atom

a = 3.930 Å, b = 3.930 Å, c = 20.743 Å
α = 90.00°, β = 90.00°, γ = 120.00°
Element x y z (fractional)
As 0.000 0.000 0.000
As 0.333 0.667 0.667
As 0.667 0.333 0.333
Se 0.000 0.000 0.415
Se 0.000 0.000 0.585
Se 0.333 0.667 0.082
Se 0.333 0.667 0.251
Se 0.667 0.333 0.749
Se 0.667 0.333 0.918
N 0.000 0.000 0.500
N 0.333 0.667 0.167
N 0.667 0.333 0.833